Entry 1:
The following is a PBE-GGA calculation of a geometry-optimized Rb7NaZn2O6 structure, from OQMD.

Unit cell a=7.0927 b=9.3924 c=11.2422 alpha=105.77 beta=91.73 gamma=109.15
Closest atoms and distances in Å follow each position.
Sites, in units of the cell vectors:
Rb  0.0135  0.3800  0.3165  4 O 2.86-3.16
Rb  0.0234  0.0163  0.3145  3 O 2.71-2.99
Rb  0.0650  0.8394  0.0206  4 O 2.77-2.98
Rb  0.2845  0.5627  0.0911  3 O 2.70-2.82
Rb  0.4499  0.1655  0.5962  4 O 2.79-2.90
Rb  0.4668  0.9847  0.8130  2 O 2.65-2.90
Rb  0.4758  0.6333  0.6319  4 O 2.76-3.05
Rb  0.5242  0.3667  0.3681  4 O 2.76-3.05
Rb  0.5332  0.0153  0.1870  2 O 2.65-2.90
Rb  0.5501  0.8345  0.4038  4 O 2.79-2.90
Rb  0.7155  0.4373  0.9089  3 O 2.70-2.82
Rb  0.9350  0.1606  0.9794  4 O 2.77-2.98
Rb  0.9766  0.9837  0.6855  3 O 2.71-2.99
Rb  0.9865  0.6200  0.6835  4 O 2.86-3.16
Na  0.1965  0.3874  0.7848  4 O 2.36-2.51
Na  0.8035  0.6126  0.2152  4 O 2.36-2.51
Zn  0.0831  0.7547  0.4382  3 O 1.90-1.93
Zn  0.4117  0.2527  0.0583  3 O 1.92-1.94
Zn  0.5883  0.7473  0.9417  3 O 1.92-1.94
Zn  0.9169  0.2453  0.5618  3 O 1.90-1.93
O  0.1573  0.7486  0.2737  1 Zn 1.93
O  0.2011  0.3282  0.5532  1 Zn 1.92
O  0.2185  0.1813  0.1642  1 Zn 1.92
O  0.2753  0.8357  0.5838  1 Zn 1.90
O  0.3054  0.6714  0.8793  1 Zn 1.93
O  0.3187  0.2448  0.8918  1 Zn 1.94
O  0.6813  0.7552  0.1082  1 Zn 1.94
O  0.6946  0.3286  0.1207  1 Zn 1.93
O  0.7247  0.1643  0.4162  1 Zn 1.90
O  0.7815  0.8187  0.8358  1 Zn 1.92
O  0.7989  0.6718  0.4468  1 Zn 1.92
O  0.8427  0.2514  0.7263  1 Zn 1.93

Computed properties:
The theoretical density is 4.17 g cm⁻³. Its raw total energy is -59.4 eV/f.u.

---

Entry 2:
The following is a PBE-GGA calculation of a geometry-optimized RbNaZrO3 structure, from OQMD.

Unit cell a=6.4376 b=6.4376 c=5.8443 alpha=90.00 beta=90.00 gamma=124.42
Closest atoms and distances in Å follow each position.
Sites, in units of the cell vectors:
Rb  0.2313  0.7687  0.7500  4 O 2.96-3.00
Rb  0.7687  0.2313  0.2500  4 O 2.96-3.00
Na  0.0729  0.9271  0.2500  5 O 2.27-2.35
Na  0.9271  0.0729  0.7500  5 O 2.27-2.35
Zr  0.4417  0.5583  0.2500  5 O 1.93-2.10
Zr  0.5583  0.4417  0.7500  5 O 1.93-2.10
O  0.2718  0.7282  0.2500  1 Zr 1.93
O  0.2744  0.2744  0.0000  2 Zr 2.10
O  0.2744  0.2744  0.5000  2 Zr 2.10
O  0.7256  0.7256  0.0000  2 Zr 2.10
O  0.7256  0.7256  0.5000  2 Zr 2.10
O  0.7282  0.2718  0.7500  1 Zr 1.93

Computed properties:
The theoretical density is 4.12 g cm⁻³. Its raw total energy is -40.4 eV/f.u.

---

Entry 3:
The following is a PBE-GGA calculation of a geometry-optimized Na2ReO4 structure, from OQMD.

Unit cell a=6.4031 b=6.4031 c=6.4031 alpha=60.00 beta=60.00 gamma=60.00
Closest atoms and distances in Å follow each position.
Sites, in units of the cell vectors:
Na  0.0000  0.0000  0.0000  6 O 2.36
Na  0.0000  0.0000  0.5000  6 O 2.36
Na  0.0000  0.5000  0.0000  6 O 2.36
Na  0.5000  0.0000  0.0000  6 O 2.36
Re  0.3750  0.3750  0.3750  4 O 1.81
Re  0.6250  0.6250  0.6250  4 O 1.81
O  0.2597  0.2597  0.2597  1 Re 1.81
O  0.2597  0.2597  0.7208  1 Re 1.81
O  0.2597  0.7208  0.2597  1 Re 1.81
O  0.2792  0.7403  0.7403  1 Re 1.81
O  0.7208  0.2597  0.2597  1 Re 1.81
O  0.7403  0.2792  0.7403  1 Re 1.81
O  0.7403  0.7403  0.2792  1 Re 1.81
O  0.7403  0.7403  0.7403  1 Re 1.81

Computed properties:
The theoretical density is 5.30 g cm⁻³. Its raw total energy is -46.4 eV/f.u.

---

Entry 4:
The following is a PBE-GGA calculation of a geometry-optimized Na5ReO5 structure, from OQMD.

Unit cell a=5.7475 b=5.7475 c=6.3259 alpha=107.37 beta=107.37 gamma=44.28
Closest atoms and distances in Å follow each position.
Sites, in units of the cell vectors:
Na  0.0000  0.0000  0.0000  4 O 2.19-2.29
Na  0.3029  0.3029  0.1752  5 O 2.23-2.46
Na  0.3231  0.3231  0.6484  5 O 2.21-2.39
Na  0.6769  0.6769  0.3516  5 O 2.21-2.39
Na  0.6971  0.6971  0.8248  5 O 2.23-2.46
Re  0.0000  0.0000  0.5000  6 O 1.96-2.17
O  0.1332  0.1332  0.3457  1 Re 1.96, 1 Na 2.19
O  0.1425  0.1425  0.7956  1 Re 1.99
O  0.5000  0.5000  0.5000  2 Re 2.17, 4 Na 2.36-2.42
O  0.8575  0.8575  0.2044  1 Re 1.99
O  0.8668  0.8668  0.6543  1 Re 1.96, 1 Na 2.19

Computed properties:
The theoretical density is 4.58 g cm⁻³. Its raw total energy is -59.6 eV/f.u.

---

Entry 5:
The following is a PBE-GGA calculation of a geometry-optimized Na2ReO3 structure, from OQMD.

Unit cell a=6.0256 b=6.0256 c=6.0256 alpha=51.54 beta=51.54 gamma=51.54
Closest atoms and distances in Å follow each position.
Sites, in units of the cell vectors:
Na  0.1798  0.1798  0.1798  1 Na 2.20, 6 O 2.20-2.35
Na  0.3202  0.3202  0.3202  1 Na 2.20, 6 O 2.20-2.35
Na  0.6798  0.6798  0.6798  1 Na 2.20, 6 O 2.20-2.35
Na  0.8202  0.8202  0.8202  1 Na 2.20, 6 O 2.20-2.35
Re  0.0000  0.0000  0.0000  6 O 2.07
Re  0.5000  0.5000  0.5000  6 O 2.07
O  0.1472  0.7500  0.3528  2 Re 2.07, 2 Na 2.20
O  0.2500  0.6472  0.8528  2 Re 2.07, 2 Na 2.20
O  0.3528  0.1472  0.7500  2 Re 2.07, 2 Na 2.20
O  0.6472  0.8528  0.2500  2 Re 2.07, 2 Na 2.20
O  0.7500  0.3528  0.1472  2 Re 2.07, 2 Na 2.20
O  0.8528  0.2500  0.6472  2 Re 2.07, 2 Na 2.20

Computed properties:
The theoretical density is 7.51 g cm⁻³. Its raw total energy is -37.2 eV/f.u.

---

Entry 6:
The following is a PBE-GGA calculation of a geometry-optimized NaReO3 structure, from OQMD.

Unit cell a=5.8893 b=5.8893 c=5.8893 alpha=54.52 beta=54.52 gamma=54.52
Closest atoms and distances in Å follow each position.
Sites, in units of the cell vectors:
Na  0.1351  0.1351  0.1351  6 O 2.31-2.53
Na  0.8649  0.8649  0.8649  6 O 2.31-2.53
Re  0.3389  0.3389  0.3389  6 O 1.96-1.98
Re  0.6611  0.6611  0.6611  6 O 1.96-1.98
O  0.0606  0.4620  0.6862  2 Re 1.96-1.98
O  0.3138  0.9394  0.5380  2 Re 1.96-1.98
O  0.4620  0.6862  0.0606  2 Re 1.96-1.98
O  0.5380  0.3138  0.9394  2 Re 1.96-1.98
O  0.6862  0.0606  0.4620  2 Re 1.96-1.98
O  0.9394  0.5380  0.3138  2 Re 1.96-1.98

Computed properties:
The theoretical density is 6.78 g cm⁻³. Its raw total energy is -36.2 eV/f.u.

---

Entry 7:
The following is a PBE-GGA calculation of a geometry-optimized Na2ReSeO6 structure, from OQMD.

Unit cell a=5.3669 b=5.4568 c=9.3281 alpha=90.00 beta=125.00 gamma=90.00
Closest atoms and distances in Å follow each position.
Sites, in units of the cell vectors:
Na  0.2397  0.0459  0.2501  4 O 2.27-2.40
Na  0.2397  0.4541  0.7501  4 O 2.27-2.40
Na  0.7603  0.5459  0.2499  4 O 2.27-2.40
Na  0.7603  0.9541  0.7499  4 O 2.27-2.40
Re  0.0000  0.0000  0.5000  6 O 1.93
Re  0.0000  0.5000  0.0000  6 O 1.93
Se  0.5000  0.0000  0.0000  6 O 2.03-2.05
Se  0.5000  0.5000  0.5000  6 O 2.03-2.05
O  0.1418  0.2078  0.9514  1 Re 1.93, 1 Se 2.05
O  0.1418  0.2922  0.4514  1 Re 1.93, 1 Se 2.05
O  0.2444  0.6963  0.9521  1 Re 1.93, 1 Se 2.03
O  0.2444  0.8037  0.4521  1 Re 1.93, 1 Se 2.03
O  0.3362  0.0258  0.7430  1 Re 1.93, 1 Se 2.03
O  0.3362  0.4742  0.2430  1 Re 1.93, 1 Se 2.03
O  0.6638  0.5258  0.7570  1 Re 1.93, 1 Se 2.03
O  0.6638  0.9742  0.2570  1 Re 1.93, 1 Se 2.03
O  0.7556  0.1963  0.5479  1 Re 1.93, 1 Se 2.03
O  0.7556  0.3037  0.0479  1 Re 1.93, 1 Se 2.03
O  0.8582  0.7078  0.5486  1 Re 1.93, 1 Se 2.05
O  0.8582  0.7922  0.0486  1 Re 1.93, 1 Se 2.05

Computed properties:
The theoretical density is 6.04 g cm⁻³. Its raw total energy is -60.7 eV/f.u.

---

Entry 8:
The following is a PBE-GGA calculation of a geometry-optimized Na2ReTeO6 structure, from OQMD.

Unit cell a=5.4599 b=5.5649 c=9.4894 alpha=90.00 beta=124.84 gamma=90.00
Closest atoms and distances in Å follow each position.
Sites, in units of the cell vectors:
Na  0.2388  0.0501  0.2497  4 O 2.27-2.40
Na  0.2388  0.4499  0.7497  4 O 2.27-2.40
Na  0.7612  0.5501  0.2503  4 O 2.27-2.40
Na  0.7612  0.9499  0.7503  4 O 2.27-2.40
Re  0.0000  0.0000  0.5000  6 O 1.93
Re  0.0000  0.5000  0.0000  6 O 1.93
Te  0.5000  0.0000  0.0000  6 O 2.13-2.16
Te  0.5000  0.5000  0.5000  6 O 2.13-2.16
O  0.1216  0.2092  0.9448  1 Re 1.93, 1 Te 2.16
O  0.1216  0.2908  0.4448  1 Re 1.93, 1 Te 2.16
O  0.2356  0.6860  0.9459  1 Re 1.93, 1 Te 2.13
O  0.2356  0.8140  0.4459  1 Re 1.93, 1 Te 2.13
O  0.3401  0.0340  0.7357  1 Re 1.93, 1 Te 2.14
O  0.3401  0.4660  0.2357  1 Re 1.93, 1 Te 2.14
O  0.6599  0.5340  0.7643  1 Re 1.93, 1 Te 2.14
O  0.6599  0.9660  0.2643  1 Re 1.93, 1 Te 2.14
O  0.7644  0.1860  0.5541  1 Re 1.93, 1 Te 2.13
O  0.7644  0.3140  0.0541  1 Re 1.93, 1 Te 2.13
O  0.8784  0.7092  0.5552  1 Re 1.93, 1 Te 2.16
O  0.8784  0.7908  0.0552  1 Re 1.93, 1 Te 2.16

Computed properties:
The theoretical density is 6.40 g cm⁻³. Its raw total energy is -61.9 eV/f.u.